Record 1
LaPuCoRu | the Alexandria database | PBE | relaxed; DFT formation energy = 13 meV/atom; calculated density = 10969 kg/m³; N(E_F) = 1.79 states/eV per atom
1.0
4.8802 0.0000 0.0000
2.4401 4.2264 0.0000
2.4401 1.4088 3.9847
Ru La Co Pu
1 1 1 1
Direct
0.7500 0.7500 0.7500
0.0000 0.0000 0.0000
0.2500 0.2500 0.2500
0.5000 0.5000 0.5000



Record 2
RbLaCo | the Alexandria database | PBE | relaxed; DFT formation energy = 245 meV/atom; calculated density = 3567 kg/m³; N(E_F) = 0.74 states/eV per atom; energy relative to the lowest polymorph listed for this composition = 231 meV/atom
1.0
4.6885 0.0024 0.0751
1.3094 5.4668 0.0609
1.4028 0.7959 10.3200
Co Rb La
2 2 2
Direct
0.3113 0.6732 0.5199
0.6887 0.3268 0.4801
0.7037 0.7233 0.1763
0.2963 0.2767 0.8237
0.1837 0.2176 0.4267
0.8163 0.7824 0.5733



Record 3
RbLaCo | the Alexandria database | PBE | relaxed; DFT formation energy = 60 meV/atom; calculated density = 3673 kg/m³; N(E_F) = 0.82 states/eV per atom; energy relative to the lowest polymorph listed for this composition = 46 meV/atom
1.0
4.1497 -0.0003 -0.0159
0.0008 4.2515 0.0000
1.6185 0.0243 14.5123
Co Rb La
2 2 2
Direct
0.5587 0.7502 0.4778
0.4413 0.2499 0.5222
0.3079 0.2469 0.8551
0.6921 0.7531 0.1449
0.0840 0.2507 0.3976
0.9160 0.7494 0.6024



Record 4
RbLaCo3 | the Alexandria database | PBE | relaxed; DFT formation energy = 1860 meV/atom; calculated density = 6339 kg/m³; N(E_F) = 0.90 states/eV per atom; energy relative to the lowest polymorph listed for this composition = 382 meV/atom
1.0
-1.9982 -3.1527 -2.8875
4.2191 -0.9398 -1.8936
0.6900 -3.3834 3.2166
Co Rb La
3 1 1
Direct
0.0000 0.5000 0.0000
0.0000 0.0000 0.5000
0.5000 0.0000 0.0000
0.0000 0.0000 0.0000
0.5000 0.5000 0.5000



Record 5
RbLa3Co | the Alexandria database | PBE | relaxed; DFT formation energy = 177 meV/atom; calculated density = 5041 kg/m³; N(E_F) = 0.47 states/eV per atom
1.0
5.6965 0.0000 0.0000
0.0000 5.6965 0.0000
0.0000 0.0000 5.6965
Co Rb La
1 1 3
Direct
0.0000 0.0000 0.0000
0.5000 0.5000 0.5000
0.0000 0.5000 0.0000
0.0000 0.0000 0.5000
0.5000 0.0000 0.0000



Record 6
RbLaCo3 | the Alexandria database | PBE | relaxed; DFT formation energy = 1479 meV/atom; calculated density = 5686 kg/m³; N(E_F) = 0.24 states/eV per atom; energy relative to the lowest polymorph listed for this composition = 0 meV/atom
1.0
4.8932 0.0000 0.0000
0.0000 4.8932 0.0000
0.0000 0.0000 4.8932
Co Rb La
3 1 1
Direct
0.0000 0.5000 0.0000
0.0000 0.0000 0.5000
0.5000 0.0000 0.0000
0.5000 0.5000 0.5000
0.0000 0.0000 0.0000



Record 7
RbLaCo | the Alexandria database | PBE | relaxed; DFT formation energy = 211 meV/atom; calculated density = 3659 kg/m³; N(E_F) = 1.00 states/eV per atom; energy relative to the lowest polymorph listed for this composition = 196 meV/atom
1.0
4.1666 -0.0043 0.0001
1.9263 5.3167 -0.0013
1.3696 0.1008 11.6047
Co Rb La
2 2 2
Direct
0.6608 0.3406 0.4414
0.3392 0.6594 0.5586
0.6835 0.7434 0.8298
0.3165 0.2566 0.1702
0.9142 0.7807 0.4188
0.0858 0.2193 0.5812



Record 8
RbLaCo | the Alexandria database | PBE | relaxed; DFT formation energy = 331 meV/atom; calculated density = 3722 kg/m³; N(E_F) = 0.87 states/eV per atom; energy relative to the lowest polymorph listed for this composition = 317 meV/atom
1.0
3.9415 -0.0002 -0.0095
1.2951 7.7020 0.0050
-0.0033 0.9339 8.3287
Co Rb La
2 2 2
Direct
0.2386 0.5666 0.5454
0.7614 0.4334 0.4546
0.2778 0.7284 0.1414
0.7222 0.2716 0.8586
0.7995 0.7642 0.6012
0.2005 0.2358 0.3988



Please write out number 1 again, unchanged.
LaPuCoRu | the Alexandria database | PBE | relaxed; DFT formation energy = 13 meV/atom; calculated density = 10969 kg/m³; N(E_F) = 1.79 states/eV per atom
1.0
4.8802 0.0000 0.0000
2.4401 4.2264 0.0000
2.4401 1.4088 3.9847
Ru La Co Pu
1 1 1 1
Direct
0.7500 0.7500 0.7500
0.0000 0.0000 0.0000
0.2500 0.2500 0.2500
0.5000 0.5000 0.5000



Question: Look up the calculated density of the seventh one.
Answer: 3659 kg/m³